This record from Alexandria via LeMat-Bulk describes crystalline Li2YSc at its relaxed geometry. The functional is PBE-GGA.

Results
- Energy relative to the lowest polymorph listed for this composition: 91 meV per atom
- Energy of formation from the pure elements: 0.18 eV per atom
- Symmetry: Fm-3m, No. 225
- Total DFT energy (no corrections): -15.9 eV/cell

```
Li2YSc
1.0
0.000 3.602 3.602
3.602 0.000 3.602
3.602 3.602 0.000
Li Y Sc
2 1 1
Direct
0.250 0.250 0.250
0.750 0.750 0.750
0.000 0.000 0.000
0.500 0.500 0.500
```